Record 1
VASP calculation (PBE) on a relaxed structure of TlNi2Rh.

POSCAR file:
```
TlNi2Rh
1.0
3.819 0.000 0.000
0.000 3.819 0.000
0.000 0.000 17.957
Tl Ni Rh
4 8 4
Direct
0.000 0.000 0.000
0.000 0.500 0.250
0.500 0.000 0.750
0.500 0.500 0.500
0.202 0.250 0.625
0.250 0.702 0.875
0.250 0.798 0.375
0.298 0.250 0.125
0.702 0.750 0.125
0.750 0.202 0.375
0.750 0.298 0.875
0.798 0.750 0.625
0.000 0.000 0.500
0.000 0.500 0.750
0.500 0.000 0.250
0.500 0.500 0.000
```

## Properties
- Energy above the most stable polymorph in this dataset: 310 meV/atom
- Space group: I-42d, No. 122
- Calculated formation energy: 0.51 eV per atom



Record 2
VASP calculation (PBE) on a relaxed structure of Sm2AlSi.

POSCAR file:
```
Sm2AlSi
1.0
4.030 0.000 0.000
-2.015 3.490 0.000
0.000 0.000 28.982
Sm Al Si
6 3 3
Direct
0.000 0.000 0.111
0.000 0.000 0.889
0.333 0.667 0.556
0.333 0.667 0.777
0.667 0.333 0.223
0.667 0.333 0.444
0.000 0.000 0.000
0.333 0.667 0.667
0.667 0.333 0.333
0.000 0.000 0.500
0.333 0.667 0.167
0.667 0.333 0.833
```

## Properties
- Formation energy (no corrections): 0.134 eV/atom
- Space group: R-3m, No. 166



Record 3
VASP calculation (PBE) on a relaxed structure of Rb2NpBeO4.

POSCAR file:
```
Rb2NpBeO4
1.0
6.070 0.000 0.000
0.000 6.970 0.000
0.000 0.000 6.820
Rb Np Be O
4 2 2 8
Direct
0.250 0.007 0.214
0.250 0.493 0.214
0.750 0.507 0.786
0.750 0.993 0.786
0.250 0.250 0.679
0.750 0.750 0.321
0.250 0.750 0.645
0.750 0.250 0.355
0.022 0.750 0.502
0.250 0.539 0.774
0.250 0.961 0.774
0.478 0.750 0.502
0.522 0.250 0.498
0.750 0.039 0.226
0.750 0.461 0.226
0.978 0.250 0.498
```

## Properties
- Formation energy (no corrections): -2.120 eV/atom
- Space group: Pmmn, No. 59



Record 4
VASP calculation (PBE) on a relaxed structure of Be2BrO.

POSCAR file:
```
Be2BrO
1.0
4.657 0.000 0.000
0.000 4.657 0.000
0.000 0.000 9.186
Be Br O
8 4 4
Direct
0.103 0.250 0.125
0.250 0.603 0.375
0.250 0.897 0.875
0.397 0.250 0.625
0.603 0.750 0.625
0.750 0.103 0.875
0.750 0.397 0.375
0.897 0.750 0.125
0.000 0.000 0.500
0.000 0.500 0.750
0.500 0.000 0.250
0.500 0.500 0.000
0.000 0.000 0.000
0.000 0.500 0.250
0.500 0.000 0.750
0.500 0.500 0.500
```

## Properties
- Formation energy (no corrections): -0.842 eV/atom
- Energy above the most stable polymorph in this dataset: 0 meV/atom
- Space group: I-42d, No. 122



| no. | total magnetic moment (μB per cell) | calculated total energy (eV per atom) |
| --- | --- | --- |
| 1 | 4.93 | -4.815 |
| 2 | 0.00 | -4.517 |
| 3 | 6.00 | -6.924 |
| 4 | 0.00 | -4.363 |